# 1
A plane-wave DFT calculation with PBE was carried out for a relaxed La2Ga12Co crystal.

- formation energy from the elements (eV/atom) = -0.41
- size of the total moment (μB per atom) = 0.0000
- raw total energy (eV per atom) = -3.97
- density (Mg/m³) = 6.70
- symmetry = P4/nbm, No. 125

a b c (Å): 6.0869 6.0869 15.6937
angles (deg): 90.00 90.00 90.00
With the nearest neighbours (Å) after each atom.
Fractional positions:
1 La 0.2500 0.7500 0.2398  14 Ga 3.17-3.45
2 La 0.2500 0.7500 0.7602  14 Ga 3.17-3.45
3 La 0.7500 0.2500 0.2398  14 Ga 3.17-3.45
4 La 0.7500 0.2500 0.7602  14 Ga 3.17-3.45
5 Ga 0.0002 0.9998 0.0817  2 Co 2.50-2.51, 3 Ga 2.57-2.68
6 Ga 0.9998 0.0002 0.9183  2 Co 2.50-2.51, 3 Ga 2.57-2.68
7 Ga 0.9998 0.4998 0.0817  2 Co 2.50-2.51, 3 Ga 2.57-2.68
8 Ga 0.0002 0.5002 0.9183  2 Co 2.50-2.51, 3 Ga 2.57-2.68
9 Ga 0.0773 0.5773 0.4307  3 Ga 2.55-2.64
10 Ga 0.0773 0.9227 0.5693  3 Ga 2.55-2.64
11 Ga 0.2500 0.2500 0.1837  5 Ga 2.50-2.68
12 Ga 0.2500 0.2500 0.3431  5 Ga 2.50-2.64
13 Ga 0.2500 0.2500 0.6569  5 Ga 2.50-2.64
14 Ga 0.2500 0.2500 0.8163  5 Ga 2.50-2.68
15 Ga 0.4227 0.5773 0.5693  3 Ga 2.55-2.64
16 Ga 0.4227 0.9227 0.4307  3 Ga 2.55-2.64
17 Ga 0.5002 0.0002 0.0817  2 Co 2.50-2.51, 3 Ga 2.57-2.68
18 Ga 0.4998 0.9998 0.9183  2 Co 2.50-2.51, 3 Ga 2.57-2.68
19 Ga 0.4998 0.5002 0.0817  2 Co 2.50-2.51, 3 Ga 2.57-2.68
20 Ga 0.5002 0.4998 0.9183  2 Co 2.50-2.51, 3 Ga 2.57-2.68
21 Ga 0.5773 0.0773 0.5693  3 Ga 2.55-2.64
22 Ga 0.5773 0.4227 0.4307  3 Ga 2.55-2.64
23 Ga 0.7500 0.7500 0.1837  5 Ga 2.50-2.68
24 Ga 0.7500 0.7500 0.3431  5 Ga 2.50-2.64
25 Ga 0.7500 0.7500 0.6569  5 Ga 2.50-2.64
26 Ga 0.7500 0.7500 0.8163  5 Ga 2.50-2.68
27 Ga 0.9227 0.0773 0.4307  3 Ga 2.55-2.64
28 Ga 0.9227 0.4227 0.5693  3 Ga 2.55-2.64
29 Co 0.2500 0.7500 0.0000  8 Ga 2.50-2.51
30 Co 0.7500 0.2500 0.0000  8 Ga 2.50-2.51


# 2
A plane-wave DFT calculation with PBE was carried out for a relaxed LaGa2Co crystal.

- formation energy from the elements (eV/atom) = -0.53
- size of the total moment (μB per atom) = 0.0000
- raw total energy (eV per atom) = -5.05
- density (Mg/m³) = 7.04
- symmetry = Cmmm, No. 65

a b c (Å): 9.1627 9.1627 4.2174
angles (deg): 90.00 90.00 153.30
With the nearest neighbours (Å) after each atom.
Fractional positions:
1 La 0.1411 0.8589 0.0000  10 Ga 3.21-3.43, 4 Co 3.24
2 La 0.8589 0.1411 0.0000  10 Ga 3.21-3.43, 4 Co 3.24
3 Ga 0.0000 0.0000 0.5000  4 Co 2.46
4 Ga 0.2930 0.7070 0.5000  1 Co 2.43, 2 Ga 2.61
5 Ga 0.5000 0.5000 0.0000  4 Co 2.46
6 Ga 0.7070 0.2930 0.5000  1 Co 2.43, 2 Ga 2.61
7 Co 0.4293 0.5707 0.5000  5 Ga 2.43-2.46, 1 Co 2.52
8 Co 0.5707 0.4293 0.5000  5 Ga 2.43-2.46, 1 Co 2.52